A relaxed TaBePt2 crystal, computed with PBE.

Cell and atoms, written as POSCAR:
```
TaBePt2
1.0
2.8308 0.0000 0.0000
0.0000 2.8308 0.0000
0.0000 0.0000 6.9838
Ta Be Pt
1 1 2
direct
0.0000 0.0000 0.0000
0.0000 0.0000 0.5000
0.5000 0.5000 0.2919
0.5000 0.5000 0.7081
```

DFT total energy	-7.656	eV/atom